1.
## Nd3TmIn4 (PBE)

Data for an optimized crystal structure of Nd3TmIn4.

Summary:
DFT formation energy: -0.303 eV per atom
symmetry: Immm
D(E_F): 7.89 states/eV/cell
E above lowest polymorph: 178 meV/atom
spin magnetization: 0.01 μB/f.u.

Lattice parameters (Å, degrees): 3.5550 7.0212 10.5361 109.47 99.71 90.00
Closest atoms and distances in Å follow each position.
Atoms (fractional coordinates):
In 0.6245 0.4035 0.2489  1 In 3.10, 1 Tm 3.12, 5 Nd 3.28-3.39
In 0.3755 0.5965 0.7511  1 In 3.10, 1 Tm 3.12, 5 Nd 3.28-3.39
In 0.6246 0.8456 0.2491  1 In 3.10, 1 Tm 3.12, 5 Nd 3.28-3.39
In 0.3754 0.1544 0.7509  1 In 3.10, 1 Tm 3.12, 5 Nd 3.28-3.39
Nd 0.2238 0.2240 0.4475  6 In 3.28-3.35, 2 Nd 3.55
Nd 0.7762 0.7760 0.5525  6 In 3.28-3.35, 2 Nd 3.55
Nd 0.0000 0.5000 0.0000  8 In 3.39, 2 Nd 3.55
Tm 0.5000 0.0000 0.0000  4 In 3.12

2.
## ZrPb3O (PBE)

Data for an optimized crystal structure of ZrPb3O.

Summary:
E_form (uncorrected): -0.133 eV/atom
symmetry: Pm-3m
D(E_F): 3.40 states/eV/cell
spin magnetization: 0.00 μB/f.u.

Lattice parameters (Å, degrees): 4.9140 4.9140 4.9140 90.00 90.00 90.00
Closest atoms and distances in Å follow each position.
Atoms (fractional coordinates):
O 0.0000 0.0000 0.0000  6 Pb 2.46
Pb 0.0000 0.0000 0.5000  2 O 2.46
Pb 0.0000 0.5000 0.0000  2 O 2.46
Pb 0.5000 0.0000 0.0000  2 O 2.46
Zr 0.5000 0.5000 0.5000  12 Pb 3.47

3.
## HoPuHg4 (PBE)

Data for an optimized crystal structure of HoPuHg4.

Summary:
DFT formation energy: -0.247 eV per atom
symmetry: Immm
D(E_F): 13.04 states/eV/cell
E above lowest polymorph: 19 meV/atom
spin magnetization: 6.01 μB/f.u.

Lattice parameters (Å, degrees): 5.0322 6.0304 6.0377 88.26 65.40 114.61
Closest atoms and distances in Å follow each position.
Atoms (fractional coordinates):
Hg 0.2515 0.5807 0.5811  3 Hg 2.89-2.90
Hg 0.7509 0.4139 0.4152  3 Hg 2.89-2.90
Hg 0.7510 0.0801 0.0815  3 Hg 2.89-2.90
Hg 0.2517 0.9144 0.9148  3 Hg 2.89-2.90
Ho 0.5014 0.4973 0.9982  12 Hg 3.34-3.36, 2 Pu 3.37
Pu 0.0013 0.9972 0.4981  12 Hg 3.34-3.36, 2 Ho 3.37

4.
## YRe2Mo (PBE)

Data for an optimized crystal structure of YRe2Mo.

Summary:
DFT formation energy: 0.339 eV per atom
symmetry: Pm
D(E_F): 2.53 states/eV/cell
E above lowest polymorph: 160 meV/atom
spin magnetization: 0.00 μB/f.u.

Lattice parameters (Å, degrees): 4.4946 2.8750 5.4827 79.57 90.00 90.00
Closest atoms and distances in Å follow each position.
Atoms (fractional coordinates):
Mo 0.5000 0.7573 0.7711  3 Re 2.66-2.72, 2 Y 2.86, 2 Mo 2.88
Re 0.0000 0.9920 0.0020  2 Mo 2.72, 4 Re 2.73-2.88, 2 Y 2.83-2.88
Re 0.5000 0.2469 0.2268  1 Mo 2.66, 4 Re 2.73-2.88, 2 Y 2.87
Y 0.0000 0.5039 0.5000  4 Re 2.83-2.88, 2 Mo 2.86, 2 Y 2.88

5.
## SiTc2Ni (PBE)

Data for an optimized crystal structure of SiTc2Ni.

Summary:
E_form (uncorrected): -0.115 eV/atom
symmetry: R3m
D(E_F): 3.18 states/eV/cell
spin magnetization: 0.00 μB/f.u.

Lattice parameters (Å, degrees): 8.3459 8.3459 8.3459 18.87 18.87 18.87
Closest atoms and distances in Å follow each position.
Atoms (fractional coordinates):
Tc 0.0029 0.0029 0.0029  3 Si 2.62, 9 Tc 2.66-2.74
Tc 0.2490 0.2490 0.2490  9 Tc 2.66-2.74, 3 Ni 2.70
Ni 0.4934 0.4934 0.4934  3 Si 2.38
Si 0.7546 0.7546 0.7546  3 Ni 2.38, 3 Tc 2.62

6.
## Nd2Zn5Au5 (PBE)

Data for an optimized crystal structure of Nd2Zn5Au5.

Summary:
DFT formation energy: -0.496 eV per atom
symmetry: Pmmm
D(E_F): 6.22 states/eV/cell
spin magnetization: 0.00 μB/f.u.

Lattice parameters (Å, degrees): 4.5233 5.3766 9.6252 90.00 90.00 90.00
Closest atoms and distances in Å follow each position.
Atoms (fractional coordinates):
Au 0.0000 0.0000 0.8195  4 Zn 2.72, 2 Au 2.85
Au 0.0000 0.5000 0.3339  6 Zn 2.75-2.77, 2 Au 3.07
Au 0.0000 0.0000 0.1805  4 Zn 2.72, 2 Au 2.85
Au 0.5000 0.0000 0.0000  4 Zn 2.77, 4 Au 2.85
Au 0.0000 0.5000 0.6661  6 Zn 2.75-2.77, 2 Au 3.07
Zn 0.5000 0.2512 0.2512  3 Zn 2.68-2.74, 5 Au 2.72-2.77
Zn 0.5000 0.2512 0.7488  3 Zn 2.68-2.74, 5 Au 2.72-2.77
Zn 0.5000 0.5000 0.5000  4 Zn 2.74, 4 Au 2.77
Zn 0.5000 0.7488 0.2512  3 Zn 2.68-2.74, 5 Au 2.72-2.77
Zn 0.5000 0.7488 0.7488  3 Zn 2.68-2.74, 5 Au 2.72-2.77
Nd 0.0000 0.5000 0.0000  10 Au 3.20-3.51, 8 Zn 3.57
Nd 0.0000 0.0000 0.5000  6 Au 3.08-3.13